Here is Al11W2 after structural relaxation from the Open Quantum Materials Database. Energies are from PBE.

Values from the calculation:
E in eV per atom: -5.02
ρ in g/cm³: 5.3
Total magnetic moment in μB/f.u.: 0.00

Unit cell a=9.4113 b=9.4113 c=9.4113 alpha=32.14 beta=32.14 gamma=32.14
Closest atoms and distances in Å follow each position.
Fractional coordinates of all 13 atoms:
Al 0.0000 0.0000 0.0000  6 Al 2.65
Al 0.3507 0.3507 0.3507  7 Al 2.75-3.04
Al 0.0853 0.0853 0.5846  7 Al 2.60-2.80, 2 W 2.72-2.74
Al 0.4154 0.9147 0.9147  7 Al 2.60-2.80, 2 W 2.72-2.74
Al 0.9147 0.4154 0.9147  7 Al 2.60-2.80, 2 W 2.72-2.74
Al 0.9147 0.9147 0.4154  7 Al 2.60-2.80, 2 W 2.72-2.74
Al 0.5466 0.5466 0.5466  2 Al 2.49-2.75
Al 0.0853 0.5846 0.0853  7 Al 2.60-2.80, 2 W 2.72-2.74
Al 0.6493 0.6493 0.6493  7 Al 2.75-3.04
Al 0.4534 0.4534 0.4534  2 Al 2.49-2.75
Al 0.5846 0.0853 0.0853  7 Al 2.60-2.80, 2 W 2.72-2.74
W 0.8328 0.8328 0.8328  6 Al 2.72-2.74, 3 W 3.01
W 0.1672 0.1672 0.1672  6 Al 2.72-2.74, 3 W 3.01



Here is ScAgSO after structural relaxation from the Open Quantum Materials Database. Energies are from PBE.

Values from the calculation:
E in eV per atom: -5.99
ρ in g/cm³: 4.5
Total magnetic moment in μB/f.u.: 0.00

Unit cell a=5.2722 b=7.1254 c=7.9781 alpha=90.00 beta=90.00 gamma=90.00
Closest atoms and distances in Å follow each position.
Fractional coordinates of all 16 atoms:
Ag 0.5574 0.1367 0.1196  2 O 2.26-2.31
Ag 0.0574 0.8633 0.8805  2 O 2.26-2.31
Ag 0.0574 0.3633 0.1196  2 O 2.26-2.31
Ag 0.5574 0.6367 0.8805  2 O 2.26-2.31
S 0.0656 0.0875 0.6292  4 Sc 2.56-2.67, 1 Ag 2.56
S 0.5656 0.9125 0.3708  4 Sc 2.56-2.67, 1 Ag 2.56
S 0.5656 0.4125 0.6292  4 Sc 2.56-2.67, 1 Ag 2.56
S 0.0656 0.5875 0.3708  4 Sc 2.56-2.67, 1 Ag 2.56
O 0.0604 0.0467 0.1194  1 Sc 1.83
O 0.5604 0.9533 0.8806  1 Sc 1.83
O 0.0604 0.5467 0.8806  1 Sc 1.83
O 0.5604 0.4533 0.1194  1 Sc 1.83
Sc 0.0667 0.9442 0.3301  1 O 1.83
Sc 0.0667 0.4442 0.6699  1 O 1.83
Sc 0.5667 0.5558 0.3301  1 O 1.83
Sc 0.5667 0.0558 0.6699  1 O 1.83



Here is RbTa3Se5 after structural relaxation from the Open Quantum Materials Database. Energies are from PBE.

Values from the calculation:
E in eV per atom: -6.68
ρ in g/cm³: 7.3
Total magnetic moment in μB/f.u.: 0.00

Unit cell a=5.8416 b=5.8416 c=7.8561 alpha=90.00 beta=90.00 gamma=120.00
Closest atoms and distances in Å follow each position.
Fractional coordinates of all 9 atoms:
Se 0.3333 0.6667 0.2413  3 Ta 2.64
Se 0.3333 0.6667 0.7587  3 Ta 2.64
Se 0.0000 0.0000 0.5000  6 Ta 2.92
Se 0.6667 0.3333 0.2413  3 Ta 2.64
Se 0.6667 0.3333 0.7587  3 Ta 2.64
Rb 0.0000 0.0000 0.0000  14 Se 3.87-3.93
Ta 0.5000 0.0000 0.5000  6 Se 2.64-2.92, 4 Ta 2.92
Ta 0.0000 0.5000 0.5000  6 Se 2.64-2.92, 4 Ta 2.92
Ta 0.5000 0.5000 0.5000  6 Se 2.64-2.92, 4 Ta 2.92



Here is ZrZnCuBi after structural relaxation from the Open Quantum Materials Database. Energies are from PBE.

Values from the calculation:
E in eV per atom: -4.14
ρ in g/cm³: 8.7
Total magnetic moment in μB/f.u.: 0.61

Unit cell a=4.8735 b=4.8735 c=4.8735 alpha=60.00 beta=60.00 gamma=60.00
Closest atoms and distances in Å follow each position.
Fractional coordinates of all 4 atoms:
Zn 0.7500 0.7500 0.7500  4 Bi 2.98, 4 Cu 2.98
Bi 0.0000 0.0000 0.0000  4 Zn 2.98, 4 Zr 2.98
Cu 0.5000 0.5000 0.5000  4 Zr 2.98, 4 Zn 2.98
Zr 0.2500 0.2500 0.2500  4 Cu 2.98, 4 Bi 2.98



Here is Gd2B after structural relaxation from the Open Quantum Materials Database. Energies are from PBE.

Values from the calculation:
E in eV per atom: -3.72
ρ in g/cm³: 7.3
Total magnetic moment in μB/f.u.: 0.00

Unit cell a=5.9444 b=5.9444 c=5.9444 alpha=60.00 beta=60.00 gamma=60.00
Closest atoms and distances in Å follow each position.
Fractional coordinates of all 6 atoms:
Gd 0.6250 0.1250 0.6250  6 Gd 2.97
Gd 0.6250 0.6250 0.1250  6 Gd 2.97
Gd 0.6250 0.6250 0.6250  6 Gd 2.97
Gd 0.1250 0.6250 0.6250  6 Gd 2.97
B 0.0000 0.0000 0.0000  12 Gd 3.49, 4 B 3.64
B 0.2500 0.2500 0.2500  12 Gd 3.49, 4 B 3.64



Here is PmInF6 after structural relaxation from the Open Quantum Materials Database. Energies are from PBE.

Values from the calculation:
E in eV per atom: -5.54
ρ in g/cm³: 5.5
Total magnetic moment in μB/f.u.: 0.00

Unit cell a=5.0378 b=5.0380 c=5.8868 alpha=64.68 beta=64.69 gamma=60.03
Closest atoms and distances in Å follow each position.
Fractional coordinates of all 8 atoms:
F 0.5769 0.2304 0.2426  1 In 2.07, 1 Pm 2.24
F 0.0499 0.4231 0.7571  1 In 2.07, 1 Pm 2.24
F 0.9501 0.5769 0.2429  1 In 2.07, 1 Pm 2.24
F 0.2303 0.9502 0.2428  1 In 2.07, 1 Pm 2.24
F 0.4231 0.7696 0.7574  1 In 2.07, 1 Pm 2.24
F 0.7697 0.0498 0.7572  1 In 2.07, 1 Pm 2.24
Pm 0.5000 0.5000 0.5000  6 F 2.24
In 0.0000 0.0000 0.0000  6 F 2.07



Here is Al2Ir2O5 after structural relaxation from the Open Quantum Materials Database. Energies are from PBE.

Values from the calculation:
E in eV per atom: -6.00
ρ in g/cm³: 8.9
Total magnetic moment in μB/f.u.: 0.00

Unit cell a=6.8009 b=3.7696 c=3.7696 alpha=90.00 beta=90.00 gamma=90.00
Closest atoms and distances in Å follow each position.
Fractional coordinates of all 9 atoms:
O 0.7112 0.0000 0.5000  2 Ir 2.00
O 0.5000 0.5000 0.5000  2 Ir 2.09
O 0.2888 0.0000 0.5000  2 Ir 2.00
O 0.7112 0.5000 0.0000  2 Ir 2.00
O 0.2888 0.5000 0.0000  2 Ir 2.00
Ir 0.8078 0.5000 0.5000  5 O 2.00-2.09
Ir 0.1922 0.5000 0.5000  5 O 2.00-2.09
Al 0.0000 0.0000 0.0000  8 O 2.72, 8 Ir 2.97
Al 0.5000 0.0000 0.0000  8 O 2.37



Here is Na2Sn2PdPt after structural relaxation from the Open Quantum Materials Database. Energies are from PBE.

Values from the calculation:
E in eV per atom: -4.05
ρ in g/cm³: 8.2
Total magnetic moment in μB/f.u.: 0.00

Unit cell a=4.8262 b=4.8262 c=5.8628 alpha=90.00 beta=90.00 gamma=120.00
Closest atoms and distances in Å follow each position.
Fractional coordinates of all 6 atoms:
Pd 0.0000 0.0000 0.0000  5 Sn 2.79-2.93
Na 0.6667 0.3333 0.2517  2 Na 2.91-2.95, 6 Sn 3.14-3.15, 3 Pt 3.14, 3 Pd 3.15
Na 0.6667 0.3333 0.7483  2 Na 2.91-2.95, 6 Sn 3.14-3.15, 3 Pt 3.14, 3 Pd 3.15
Sn 0.0000 0.0000 0.5000  3 Pt 2.79, 2 Pd 2.93
Sn 0.3333 0.6667 0.0000  3 Pd 2.79, 2 Pt 2.93
Pt 0.3333 0.6667 0.5000  5 Sn 2.79-2.93



Question: Among the records above, which one has the highest ρ?
Answer: Al2Ir2O5